No. 1
ScFeAs2 after structural relaxation. Source: the Alexandria database, functional PBE.

Calculated values
Formation energy from the elements = -0.046 eV/atom
Total magnetization = 1.445 μB/f.u.
Energy relative to the lowest polymorph listed for this composition = 0.510 eV per atom

abc: 4.5553 4.5553 4.5553
angles: 60.00 60.00 60.00
With the nearest neighbours (Å) after each atom.
Sites, in units of the cell vectors:
As  0.7500  0.7500  0.7500  4 Fe 2.79, 4 As 2.79
As  0.0000  0.0000  0.0000  4 Sc 2.79, 4 As 2.79
Sc  0.2500  0.2500  0.2500  4 As 2.79, 4 Fe 2.79
Fe  0.5000  0.5000  0.5000  4 As 2.79, 4 Sc 2.79


No. 2
HoHg2Pt after structural relaxation. Source: the Alexandria database, functional PBE.

Calculated values
Formation energy from the elements = -0.448 eV/atom
Total magnetization = 0.000 μB/f.u.

abc: 4.9102 4.9102 4.9102
angles: 60.00 60.00 60.00
With the nearest neighbours (Å) after each atom.
Sites, in units of the cell vectors:
Ho  0.5000  0.5000  0.5000  8 Hg 3.01
Pt  0.0000  0.0000  0.0000  8 Hg 3.01
Hg  0.7500  0.7500  0.7500  4 Ho 3.01, 4 Pt 3.01
Hg  0.2500  0.2500  0.2500  4 Ho 3.01, 4 Pt 3.01